# Sr2SeBr2

A geometry-optimized Sr2SeBr2 structure (PBE-GGA, Alexandria).

Cell and atoms, written as CIF:
```
data_Sr2SeBr2
_chemical_formula_sum 'Sr2 Se1 Br2'
_space_group_name_H-M_alt 'P 1'
_space_group_IT_number 1
_cell_length_a 4.525
_cell_length_b 4.527
_cell_length_c 10.416
_cell_angle_alpha 90.38
_cell_angle_beta 90.00
_cell_angle_gamma 119.99
loop_
_space_group_symop_operation_xyz
'x,y,z'
loop_
_atom_site_label
_atom_site_fract_x
_atom_site_fract_y
_atom_site_fract_z
Sr1 0.832 0.663 0.326
Sr2 0.168 0.337 0.674
Se1 0.500 0.000 0.500
Br1 0.163 0.326 0.173
Br2 0.837 0.674 0.827
```

- SG = C2/m, No. 12
- formation energy (no corrections) (kJ per mole of atoms) = -202
- density of states at the Fermi level (states/eV per cell) = 0.00

# Nb4VSe8

A geometry-optimized Nb4VSe8 structure (PBE-GGA, Alexandria).

Cell and atoms, written as CIF:
```
data_Nb4VSe8
_chemical_formula_sum 'Nb4 V1 Se8'
_space_group_name_H-M_alt 'P 1'
_space_group_IT_number 1
_cell_length_a 7.767
_cell_length_b 7.767
_cell_length_c 7.767
_cell_angle_alpha 53.56
_cell_angle_beta 53.56
_cell_angle_gamma 53.56
loop_
_space_group_symop_operation_xyz
'x,y,z'
loop_
_atom_site_label
_atom_site_fract_x
_atom_site_fract_y
_atom_site_fract_z
Nb1 0.500 0.000 0.500
Nb2 0.000 0.500 0.500
Nb3 0.500 0.500 0.000
Nb4 0.000 0.000 0.000
V1 0.500 0.500 0.500
Se1 0.251 0.755 0.251
Se2 0.749 0.749 0.245
Se3 0.749 0.245 0.749
Se4 0.245 0.749 0.749
Se5 0.751 0.751 0.751
Se6 0.249 0.249 0.249
Se7 0.755 0.251 0.251
Se8 0.251 0.251 0.755
```

- energy relative to the lowest polymorph listed for this composition (eV/f.u.) = 2.71
- SG = R-3m, No. 166
- formation energy (no corrections) (kJ per mole of atoms) = -68
- density of states at the Fermi level (states/eV per cell) = 10.29

# Ac2ErLu

A geometry-optimized Ac2ErLu structure (PBE-GGA, Alexandria).

Cell and atoms, written as CIF:
```
data_Ac2ErLu
_chemical_formula_sum 'Ac2 Er1 Lu1'
_space_group_name_H-M_alt 'P 1'
_space_group_IT_number 1
_cell_length_a 3.896
_cell_length_b 3.896
_cell_length_c 9.687
_cell_angle_alpha 90.00
_cell_angle_beta 90.00
_cell_angle_gamma 90.00
loop_
_space_group_symop_operation_xyz
'x,y,z'
loop_
_atom_site_label
_atom_site_fract_x
_atom_site_fract_y
_atom_site_fract_z
Ac1 0.000 0.000 0.753
Ac2 0.000 0.000 0.247
Lu1 0.500 0.500 0.000
Er1 0.500 0.500 0.500
```

- energy relative to the lowest polymorph listed for this composition (eV/f.u.) = 0.00
- ΔH_f (0 K) (kJ per mole of atoms) = 5.8
- SG = P4/mmm, No. 123
- density of states at the Fermi level (states/eV per cell) = 4.76

# HoNp2PaS4

A geometry-optimized HoNp2PaS4 structure (PBE-GGA, Alexandria).

Cell and atoms, written as CIF:
```
data_HoNp2PaS4
_chemical_formula_sum 'Ho1 Np2 Pa1 S4'
_space_group_name_H-M_alt 'P 1'
_space_group_IT_number 1
_cell_length_a 3.899
_cell_length_b 6.781
_cell_length_c 6.679
_cell_angle_alpha 109.60
_cell_angle_beta 90.00
_cell_angle_gamma 90.00
loop_
_space_group_symop_operation_xyz
'x,y,z'
loop_
_atom_site_label
_atom_site_fract_x
_atom_site_fract_y
_atom_site_fract_z
Ho1 0.000 0.000 0.000
Np1 0.500 0.000 0.500
Np2 0.000 0.500 0.500
Pa1 0.500 0.500 0.000
S1 0.500 0.248 0.250
S2 0.500 0.752 0.750
S3 0.000 0.246 0.747
S4 0.000 0.754 0.253
```

- SG = P2/m, No. 10
- formation energy (no corrections) (kJ per mole of atoms) = -154
- density of states at the Fermi level (states/eV per cell) = 13.14

# Sr3LiHg

A geometry-optimized Sr3LiHg structure (PBE-GGA, Alexandria).

Cell and atoms, written as CIF:
```
data_Sr3LiHg
_chemical_formula_sum 'Sr6 Li2 Hg2'
_space_group_name_H-M_alt 'P 1'
_space_group_IT_number 1
_cell_length_a 5.779
_cell_length_b 5.780
_cell_length_c 11.637
_cell_angle_alpha 90.00
_cell_angle_beta 75.62
_cell_angle_gamma 90.00
loop_
_space_group_symop_operation_xyz
'x,y,z'
loop_
_atom_site_label
_atom_site_fract_x
_atom_site_fract_y
_atom_site_fract_z
Sr1 0.752 0.250 0.144
Sr2 0.395 0.250 0.857
Sr3 0.574 0.250 0.500
Sr4 0.253 0.750 0.143
Sr5 0.896 0.750 0.856
Sr6 0.074 0.750 0.500
Li1 0.483 0.750 0.681
Li2 0.165 0.250 0.319
Hg1 0.665 0.750 0.319
Hg2 0.984 0.250 0.681
```

- energy relative to the lowest polymorph listed for this composition (eV/f.u.) = 0.00
- ΔH_f (0 K) (kJ per mole of atoms) = -20.2
- SG = Cmcm, No. 63
- density of states at the Fermi level (states/eV per cell) = 9.94

# MgPa2Co2

A geometry-optimized MgPa2Co2 structure (PBE-GGA, Alexandria).

Cell and atoms, written as CIF:
```
data_MgPa2Co2
_chemical_formula_sum 'Mg2 Pa4 Co4'
_space_group_name_H-M_alt 'P 1'
_space_group_IT_number 1
_cell_length_a 3.449
_cell_length_b 7.352
_cell_length_c 7.352
_cell_angle_alpha 90.00
_cell_angle_beta 90.00
_cell_angle_gamma 90.00
loop_
_space_group_symop_operation_xyz
'x,y,z'
loop_
_atom_site_label
_atom_site_fract_x
_atom_site_fract_y
_atom_site_fract_z
Mg1 0.500 0.500 0.000
Mg2 0.500 0.000 0.500
Pa1 0.000 0.667 0.333
Pa2 0.000 0.833 0.833
Pa3 0.000 0.167 0.167
Pa4 0.000 0.333 0.667
Co1 0.500 0.366 0.366
Co2 0.500 0.866 0.134
Co3 0.500 0.134 0.866
Co4 0.500 0.634 0.634
```

- ΔH_f (0 K) (kJ per mole of atoms) = -27.8
- SG = P4/mbm, No. 127
- density of states at the Fermi level (states/eV per cell) = 11.84

# SiPPt6Pb2

A geometry-optimized SiPPt6Pb2 structure (PBE-GGA, Alexandria).

Cell and atoms, written as CIF:
```
data_SiPPt6Pb2
_chemical_formula_sum 'Si2 P2 Pt12 Pb4'
_space_group_name_H-M_alt 'P 1'
_space_group_IT_number 1
_cell_length_a 6.608
_cell_length_b 6.608
_cell_length_c 10.823
_cell_angle_alpha 72.23
_cell_angle_beta 72.23
_cell_angle_gamma 60.00
loop_
_space_group_symop_operation_xyz
'x,y,z'
loop_
_atom_site_label
_atom_site_fract_x
_atom_site_fract_y
_atom_site_fract_z
Si1 0.590 0.590 0.231
Si2 0.410 0.410 0.769
P1 0.000 0.000 0.000
P2 0.500 0.500 0.500
Pt1 0.911 0.363 0.364
Pt2 0.363 0.911 0.364
Pt3 0.363 0.363 0.364
Pt4 0.089 0.637 0.636
Pt5 0.637 0.089 0.636
Pt6 0.637 0.637 0.636
Pt7 0.779 0.197 0.827
Pt8 0.197 0.779 0.827
Pt9 0.197 0.197 0.827
Pt10 0.221 0.803 0.173
Pt11 0.803 0.221 0.173
Pt12 0.803 0.803 0.173
Pb1 0.863 0.863 0.411
Pb2 0.137 0.137 0.589
Pb3 0.700 0.700 0.899
Pb4 0.300 0.300 0.101
```

- SG = R-3m, No. 166
- formation energy (no corrections) (kJ per mole of atoms) = -20
- density of states at the Fermi level (states/eV per cell) = 7.82

# GaGe2As2

A geometry-optimized GaGe2As2 structure (PBE-GGA, Alexandria).

Cell and atoms, written as CIF:
```
data_GaGe2As2
_chemical_formula_sum 'Ga2 Ge4 As4'
_space_group_name_H-M_alt 'P 1'
_space_group_IT_number 1
_cell_length_a 7.489
_cell_length_b 7.489
_cell_length_c 3.593
_cell_angle_alpha 90.00
_cell_angle_beta 90.00
_cell_angle_gamma 90.00
loop_
_space_group_symop_operation_xyz
'x,y,z'
loop_
_atom_site_label
_atom_site_fract_x
_atom_site_fract_y
_atom_site_fract_z
As1 0.340 0.840 0.000
As2 0.840 0.660 0.000
As3 0.660 0.160 0.000
As4 0.160 0.340 0.000
Ge1 0.145 0.645 0.500
Ge2 0.645 0.855 0.500
Ge3 0.855 0.355 0.500
Ge4 0.355 0.145 0.500
Ga1 0.000 0.000 0.000
Ga2 0.500 0.500 0.000
```

- energy relative to the lowest polymorph listed for this composition (eV/f.u.) = 0.00
- ΔH_f (0 K) (kJ per mole of atoms) = 22.2
- SG = P4/mbm, No. 127
- density of states at the Fermi level (states/eV per cell) = 4.57

# Pm4TlSnN

A geometry-optimized Pm4TlSnN structure (PBE-GGA, Alexandria).

Cell and atoms, written as CIF:
```
data_Pm4TlSnN
_chemical_formula_sum 'Pm8 Tl2 Sn2 N2'
_space_group_name_H-M_alt 'P 1'
_space_group_IT_number 1
_cell_length_a 6.896
_cell_length_b 6.898
_cell_length_c 8.916
_cell_angle_alpha 90.00
_cell_angle_beta 112.75
_cell_angle_gamma 90.00
loop_
_space_group_symop_operation_xyz
'x,y,z'
loop_
_atom_site_label
_atom_site_fract_x
_atom_site_fract_y
_atom_site_fract_z
Pm1 0.913 0.250 0.825
Pm2 0.413 0.750 0.827
Pm3 0.087 0.750 0.175
Pm4 0.587 0.250 0.173
Pm5 0.500 0.500 0.500
Pm6 0.000 0.000 0.500
Pm7 0.500 0.000 0.500
Pm8 0.000 0.500 0.500
Tl1 0.610 0.750 0.220
Tl2 0.390 0.250 0.780
Sn1 0.109 0.250 0.219
Sn2 0.891 0.750 0.781
N1 0.251 0.750 0.501
N2 0.749 0.250 0.499
```

- SG = Cmcm, No. 63
- formation energy (no corrections) (kJ per mole of atoms) = -75
- density of states at the Fermi level (states/eV per cell) = 5.11

# Ba2SiCl

A geometry-optimized Ba2SiCl structure (PBE-GGA, Alexandria).

Cell and atoms, written as CIF:
```
data_Ba2SiCl
_chemical_formula_sum 'Ba2 Si1 Cl1'
_space_group_name_H-M_alt 'P 1'
_space_group_IT_number 1
_cell_length_a 5.652
_cell_length_b 5.652
_cell_length_c 5.652
_cell_angle_alpha 60.00
_cell_angle_beta 60.00
_cell_angle_gamma 60.00
loop_
_space_group_symop_operation_xyz
'x,y,z'
loop_
_atom_site_label
_atom_site_fract_x
_atom_site_fract_y
_atom_site_fract_z
Ba1 0.000 0.000 0.000
Ba2 0.250 0.250 0.250
Cl1 0.500 0.500 0.500
Si1 0.750 0.750 0.750
```

- energy relative to the lowest polymorph listed for this composition (eV/f.u.) = 3.19
- SG = F-43m, No. 216
- formation energy (no corrections) (kJ per mole of atoms) = -26
- density of states at the Fermi level (states/eV per cell) = 5.11

Question: density of states at the Fermi level of number 4 (HoNp2PaS4)?
Answer: 13.14 states/eV per cell

Question: What is the density of states at the Fermi level in the second record?
Answer: 10.29 states/eV per cell

Question: What is the density of states at the Fermi level in the eighth record?
Answer: 4.57 states/eV per cell

Question: The highest density of states at the Fermi level belongs to which entry?
Answer: HoNp2PaS4